# IrClF4 | Alexandria | GGA-PBE | optimized geometry
data_IrClF4
_cell_length_a 5.253
_cell_length_b 5.805
_cell_length_c 7.448
_cell_angle_alpha 83.41
_cell_angle_beta 89.53
_cell_angle_gamma 89.73
_space_group_name_H-M_alt 'P 1'
_space_group_IT_number 1
loop_
_space_group_symop_operation_xyz
'x,y,z'
loop_
_atom_site_label
_atom_site_fract_x
_atom_site_fract_y
_atom_site_fract_z
_atom_site_occupancy
Ir1 0.000 0.000 0.000 1
Ir2 0.497 0.798 0.359 1
Cl1 0.309 0.571 0.579 1
Cl2 0.815 0.227 0.780 1
F1 0.128 0.250 0.111 1
F2 0.177 0.782 0.208 1
F3 0.301 0.984 0.860 1
F4 0.371 0.073 0.439 1
F5 0.630 0.548 0.248 1
F6 0.677 0.017 0.151 1
F7 0.794 0.815 0.499 1
F8 0.879 0.725 0.920 1
# Total energy   -25.50 eV per formula unit
# Volume   18.8 Å³ per atom